Entry from Alexandria: BeAlCl2 at its PBEsol-relaxed geometry (meta-GGA SCAN). Values from VASP.

The structure in Quantum ESPRESSO input format:
```
&SYSTEM
  ibrav = 0, nat = 12, ntyp = 3
/
ATOMIC_SPECIES
Be 9.01 Be.upf
Al 26.98 Al.upf
Cl 35.45 Cl.upf
ATOMIC_POSITIONS crystal
Be 0.000 0.000 0.000
Be 0.333 0.667 0.667
Be 0.667 0.333 0.333
Al 0.000 0.000 0.500
Al 0.333 0.667 0.167
Al 0.667 0.333 0.833
Cl 0.000 0.000 0.068
Cl 0.000 0.000 0.932
Cl 0.333 0.667 0.599
Cl 0.333 0.667 0.734
Cl 0.667 0.333 0.266
Cl 0.667 0.333 0.401
CELL_PARAMETERS angstrom
3.353 0.000 0.000
-1.676 2.904 0.000
0.000 0.000 26.899
```

SG: No. 166
Raw formation energy, eV/atom: -0.33

---

Entry from Alexandria: FeSi2Os at its PBEsol-relaxed geometry (meta-GGA SCAN). Values from VASP.

The structure in Quantum ESPRESSO input format:
```
&SYSTEM
  ibrav = 0, nat = 4, ntyp = 3
/
ATOMIC_SPECIES
Fe 55.84 Fe.upf
Si 28.09 Si.upf
Os 190.23 Os.upf
ATOMIC_POSITIONS crystal
Fe 0.000 0.000 0.000
Si 0.500 0.500 0.235
Si 0.500 0.500 0.765
Os 0.000 0.000 0.500
CELL_PARAMETERS angstrom
2.858 0.000 0.000
0.000 2.858 0.000
0.000 0.000 5.653
```

SG: No. 123
Raw formation energy, eV/atom: -0.40

---

Entry from Alexandria: TiNb3Cl7O2 at its PBEsol-relaxed geometry (meta-GGA SCAN). Values from VASP.

The structure in Quantum ESPRESSO input format:
```
&SYSTEM
  ibrav = 0, nat = 52, ntyp = 4
/
ATOMIC_SPECIES
Ti 47.87 Ti.upf
Nb 92.91 Nb.upf
Cl 35.45 Cl.upf
O 16.00 O.upf
ATOMIC_POSITIONS crystal
Ti 0.000 0.000 0.000
Ti 0.000 0.000 0.500
Ti 0.106 0.894 0.750
Ti 0.894 0.106 0.250
Nb 0.075 0.334 0.439
Nb 0.096 0.635 0.391
Nb 0.175 0.554 0.609
Nb 0.334 0.075 0.939
Nb 0.365 0.904 0.109
Nb 0.446 0.825 0.891
Nb 0.554 0.175 0.109
Nb 0.635 0.096 0.891
Nb 0.666 0.925 0.061
Nb 0.825 0.446 0.391
Nb 0.904 0.365 0.609
Nb 0.925 0.666 0.561
Cl 0.024 0.216 0.113
Cl 0.087 0.420 0.754
Cl 0.095 0.128 0.852
Cl 0.128 0.095 0.352
Cl 0.206 0.794 0.250
Cl 0.210 0.450 0.301
Cl 0.216 0.024 0.613
Cl 0.292 0.680 0.003
Cl 0.299 0.361 0.549
Cl 0.320 0.708 0.497
Cl 0.361 0.299 0.049
Cl 0.387 0.613 0.750
Cl 0.420 0.087 0.254
Cl 0.450 0.210 0.801
Cl 0.550 0.790 0.199
Cl 0.580 0.913 0.746
Cl 0.613 0.387 0.250
Cl 0.639 0.701 0.951
Cl 0.680 0.292 0.503
Cl 0.701 0.639 0.451
Cl 0.708 0.320 0.997
Cl 0.784 0.976 0.387
Cl 0.790 0.550 0.699
Cl 0.794 0.206 0.750
Cl 0.872 0.905 0.648
Cl 0.905 0.872 0.148
Cl 0.913 0.580 0.246
Cl 0.976 0.784 0.887
O 0.020 0.805 0.457
O 0.099 0.724 0.672
O 0.195 0.980 0.043
O 0.276 0.901 0.828
O 0.724 0.099 0.172
O 0.805 0.020 0.957
O 0.901 0.276 0.328
O 0.980 0.195 0.543
CELL_PARAMETERS angstrom
6.294 -7.327 0.000
6.294 7.327 0.000
-1.260 0.000 12.420
```

SG: No. 15
Raw formation energy, eV/atom: -1.87

---

Entry from Alexandria: CsFePH12O10 at its PBEsol-relaxed geometry (meta-GGA SCAN). Values from VASP.

The structure in Quantum ESPRESSO input format:
```
&SYSTEM
  ibrav = 0, nat = 25, ntyp = 5
/
ATOMIC_SPECIES
Cs 132.91 Cs.upf
Fe 55.84 Fe.upf
P 30.97 P.upf
H 1.01 H.upf
O 16.00 O.upf
ATOMIC_POSITIONS crystal
Cs 0.000 0.000 0.000
Fe 0.750 0.750 0.750
P 0.500 0.500 0.500
H 0.135 0.485 0.485
H 0.135 0.485 0.896
H 0.135 0.896 0.485
H 0.485 0.135 0.485
H 0.485 0.135 0.896
H 0.485 0.485 0.135
H 0.485 0.485 0.896
H 0.485 0.896 0.135
H 0.485 0.896 0.485
H 0.896 0.135 0.485
H 0.896 0.485 0.135
H 0.896 0.485 0.485
O 0.410 0.410 0.410
O 0.410 0.410 0.769
O 0.410 0.769 0.410
O 0.540 0.540 0.960
O 0.540 0.960 0.540
O 0.540 0.960 0.960
O 0.769 0.410 0.410
O 0.960 0.540 0.540
O 0.960 0.540 0.960
O 0.960 0.960 0.540
CELL_PARAMETERS angstrom
0.000 5.001 5.001
5.001 0.000 5.001
5.001 5.001 0.000
```

DFT total energy, eV for the cell shown: -204.54
SG: No. 216

---

Entry from Alexandria: Cr2FeCo at its PBEsol-relaxed geometry (meta-GGA SCAN). Values from VASP.

The structure in Quantum ESPRESSO input format:
```
&SYSTEM
  ibrav = 0, nat = 8, ntyp = 3
/
ATOMIC_SPECIES
Cr 52.00 Cr.upf
Fe 55.84 Fe.upf
Co 58.93 Co.upf
ATOMIC_POSITIONS crystal
Cr 0.000 0.000 0.000
Cr 0.000 0.500 0.250
Cr 0.500 0.000 0.750
Cr 0.500 0.500 0.500
Fe 0.000 0.000 0.500
Fe 0.500 0.500 0.000
Co 0.000 0.500 0.750
Co 0.500 0.000 0.250
CELL_PARAMETERS angstrom
3.458 0.000 0.000
0.000 3.458 0.000
0.000 0.000 7.011
```

Energy relative to the elements, eV per atom: 0.20
SG: No. 119

---

Entry from Alexandria: Y3Te2 at its PBEsol-relaxed geometry (meta-GGA SCAN). Values from VASP.

The structure in Quantum ESPRESSO input format:
```
&SYSTEM
  ibrav = 0, nat = 5, ntyp = 2
/
ATOMIC_SPECIES
Y 88.91 Y.upf
Te 127.60 Te.upf
ATOMIC_POSITIONS crystal
Y 0.000 0.000 0.000
Y 0.333 0.667 0.371
Y 0.667 0.333 0.629
Te 0.333 0.667 0.818
Te 0.667 0.333 0.182
CELL_PARAMETERS angstrom
4.030 0.000 0.000
-2.015 3.490 0.000
0.000 0.000 10.510
```

SG: No. 164
Raw formation energy, eV/atom: -1.11

---

Entry from Alexandria: NaHfBr3 at its PBEsol-relaxed geometry (meta-GGA SCAN). Values from VASP.

The structure in Quantum ESPRESSO input format:
```
&SYSTEM
  ibrav = 0, nat = 5, ntyp = 3
/
ATOMIC_SPECIES
Na 22.99 Na.upf
Hf 178.49 Hf.upf
Br 79.90 Br.upf
ATOMIC_POSITIONS crystal
Na 0.000 0.000 0.000
Hf 0.500 0.500 0.500
Br 0.000 0.500 0.500
Br 0.500 0.000 0.500
Br 0.500 0.500 0.000
CELL_PARAMETERS angstrom
5.244 0.000 0.000
0.000 5.244 0.000
0.000 0.000 5.244
```

SG: No. 221
Raw formation energy, eV/atom: -0.91

---

Entry from Alexandria: SiSb2Os at its PBEsol-relaxed geometry (meta-GGA SCAN). Values from VASP.

The structure in Quantum ESPRESSO input format:
```
&SYSTEM
  ibrav = 0, nat = 8, ntyp = 3
/
ATOMIC_SPECIES
Si 28.09 Si.upf
Sb 121.76 Sb.upf
Os 190.23 Os.upf
ATOMIC_POSITIONS crystal
Si 0.000 0.000 0.000
Si 0.500 0.500 0.000
Sb 0.074 0.500 0.717
Sb 0.261 0.500 0.284
Sb 0.574 0.000 0.717
Sb 0.761 0.000 0.284
Os 0.334 0.000 0.002
Os 0.834 0.500 0.002
CELL_PARAMETERS angstrom
7.088 0.000 0.000
0.000 4.095 0.000
-2.353 0.000 5.986
```

SG: No. 8
Raw formation energy, eV/atom: 0.05

---

Entry from Alexandria: LiIn2P at its PBEsol-relaxed geometry (meta-GGA SCAN). Values from VASP.

The structure in Quantum ESPRESSO input format:
```
&SYSTEM
  ibrav = 0, nat = 8, ntyp = 3
/
ATOMIC_SPECIES
Li 6.94 Li.upf
In 114.82 In.upf
P 30.97 P.upf
ATOMIC_POSITIONS crystal
Li 0.000 0.000 0.000
Li 0.500 0.500 0.000
In 0.135 0.500 0.674
In 0.339 0.500 0.370
In 0.635 0.000 0.674
In 0.839 0.000 0.370
P 0.297 0.000 0.018
P 0.797 0.500 0.018
CELL_PARAMETERS angstrom
8.538 0.000 0.000
0.000 3.684 0.000
-2.195 0.000 5.555
```

Energy relative to the elements, eV per atom: -0.22
SG: No. 8

---

Entry from Alexandria: TiCu3 at its PBEsol-relaxed geometry (meta-GGA SCAN). Values from VASP.

The structure in Quantum ESPRESSO input format:
```
&SYSTEM
  ibrav = 0, nat = 8, ntyp = 2
/
ATOMIC_SPECIES
Ti 47.87 Ti.upf
Cu 63.55 Cu.upf
ATOMIC_POSITIONS crystal
Ti 0.250 0.250 0.160
Ti 0.750 0.750 0.840
Cu 0.250 0.504 0.667
Cu 0.250 0.750 0.181
Cu 0.250 0.996 0.667
Cu 0.750 0.004 0.333
Cu 0.750 0.250 0.819
Cu 0.750 0.496 0.333
CELL_PARAMETERS angstrom
4.250 0.000 0.000
0.000 5.345 0.000
0.000 0.000 4.361
```

Energy relative to the elements, eV per atom: -0.14
SG: No. 59

---

Entry from Alexandria: GeBr2O at its PBEsol-relaxed geometry (meta-GGA SCAN). Values from VASP.

The structure in Quantum ESPRESSO input format:
```
&SYSTEM
  ibrav = 0, nat = 16, ntyp = 3
/
ATOMIC_SPECIES
Ge 72.64 Ge.upf
Br 79.90 Br.upf
O 16.00 O.upf
ATOMIC_POSITIONS crystal
Ge 0.000 0.000 0.000
Ge 0.000 0.500 0.500
Ge 0.500 0.000 0.500
Ge 0.500 0.500 0.000
Br 0.250 0.250 0.250
Br 0.250 0.250 0.750
Br 0.250 0.750 0.250
Br 0.250 0.750 0.750
Br 0.750 0.250 0.250
Br 0.750 0.250 0.750
Br 0.750 0.750 0.250
Br 0.750 0.750 0.750
O 0.000 0.000 0.500
O 0.000 0.500 0.000
O 0.500 0.000 0.000
O 0.500 0.500 0.500
CELL_PARAMETERS angstrom
6.731 0.000 0.000
0.000 6.731 0.000
0.000 0.000 6.731
```

SG: No. 225
Raw formation energy, eV/atom: 0.43

---

Entry from Alexandria: ZnPt2 at its PBEsol-relaxed geometry (meta-GGA SCAN). Values from VASP.

The structure in Quantum ESPRESSO input format:
```
&SYSTEM
  ibrav = 0, nat = 12, ntyp = 2
/
ATOMIC_SPECIES
Zn 65.41 Zn.upf
Pt 195.08 Pt.upf
ATOMIC_POSITIONS crystal
Zn 0.187 0.000 0.152
Zn 0.313 0.500 0.848
Zn 0.687 0.500 0.152
Zn 0.813 0.000 0.848
Pt 0.043 0.500 0.824
Pt 0.142 0.000 0.536
Pt 0.358 0.500 0.464
Pt 0.457 0.000 0.176
Pt 0.543 0.000 0.824
Pt 0.642 0.500 0.536
Pt 0.858 0.000 0.464
Pt 0.957 0.500 0.176
CELL_PARAMETERS angstrom
10.115 0.000 0.000
0.000 2.758 0.000
-2.130 0.000 6.243
```

Energy relative to the elements, eV per atom: -0.37
SG: No. 12

---

Entry from Alexandria: Ag2Pt at its PBEsol-relaxed geometry (meta-GGA SCAN). Values from VASP.

The structure in Quantum ESPRESSO input format:
```
&SYSTEM
  ibrav = 0, nat = 12, ntyp = 2
/
ATOMIC_SPECIES
Ag 107.87 Ag.upf
Pt 195.08 Pt.upf
ATOMIC_POSITIONS crystal
Ag 0.000 0.000 0.000
Ag 0.083 0.833 0.249
Ag 0.334 0.334 0.000
Ag 0.416 0.167 0.249
Ag 0.500 0.000 0.500
Ag 0.584 0.833 0.751
Ag 0.666 0.666 0.000
Ag 0.917 0.167 0.751
Pt 0.164 0.664 0.500
Pt 0.247 0.500 0.747
Pt 0.753 0.500 0.253
Pt 0.836 0.336 0.500
CELL_PARAMETERS angstrom
-2.030 3.985 5.896
2.030 -3.985 5.896
2.030 3.985 -5.896
```

Energy relative to the elements, eV per atom: 0.03
SG: No. 71